No. 1
A plane-wave DFT calculation with PBE was carried out for a relaxed PrDy2ErTm4 crystal.

Density of states at the Fermi level ... 17.691 states/eV/f.u.
ΔH_f (0 K) ... 0.443 eV per atom

Unit cell a=6.750 b=11.685 c=13.213 alpha=90.00 beta=90.00 gamma=90.00
Space group Imma (No. 74)
Inequivalent atoms, fractional coordinates:
1 Pr 0.000 0.000 0.000 (multiplicity 4)
2 Dy 0.000 0.000 0.500 (multiplicity 4)
3 Dy 0.250 0.250 0.250 (multiplicity 4)
4 Er 0.250 0.250 0.750 (multiplicity 4)
5 Tm 0.000 0.001 0.749 (multiplicity 8)
6 Tm 0.249 0.250 0.501 (multiplicity 8)

***

No. 2
A plane-wave DFT calculation with PBE was carried out for a relaxed Pr4Dy2ErTm crystal.

Density of states at the Fermi level ... 10.311 states/eV/f.u.
ΔH_f (0 K) ... 0.018 eV per atom

Unit cell a=5.154 b=5.177 c=10.013 alpha=90.00 beta=90.00 gamma=90.00
Space group Pmmm (No. 47)
Inequivalent atoms, fractional coordinates:
1 Pr 0.000 0.000 0.249 (multiplicity 2)
2 Pr 0.500 0.500 0.250 (multiplicity 2)
3 Dy 0.000 0.500 0.000 (multiplicity 1)
4 Dy 0.500 0.000 0.500 (multiplicity 1)
5 Er 0.000 0.500 0.500 (multiplicity 1)
6 Tm 0.500 0.000 0.000 (multiplicity 1)

***

No. 3
A plane-wave DFT calculation with PBE was carried out for a relaxed Pr5DyErTm2 crystal.

Density of states at the Fermi level ... 14.373 states/eV/f.u.
ΔH_f (0 K) ... 0.143 eV per atom

Unit cell a=5.634 b=20.556 c=10.748 alpha=90.00 beta=90.00 gamma=90.00
Space group Cmc2_1 (No. 36)
Inequivalent atoms, fractional coordinates:
1 Pr 0.000 0.014 0.000 (multiplicity 4)
2 Pr 0.000 0.118 0.274 (multiplicity 4)
3 Pr 0.000 0.203 0.963 (multiplicity 4)
4 Pr 0.000 0.221 0.569 (multiplicity 4)
5 Pr 0.000 0.485 0.270 (multiplicity 4)
6 Dy 0.000 0.302 0.267 (multiplicity 4)
7 Er 0.000 0.094 0.722 (multiplicity 4)
8 Tm 0.000 0.387 0.557 (multiplicity 4)
9 Tm 0.000 0.387 0.997 (multiplicity 4)

***

No. 4
A plane-wave DFT calculation with PBE was carried out for a relaxed Pr3Dy2Er6Tm crystal.

Density of states at the Fermi level ... 15.810 states/eV/f.u.
ΔH_f (0 K) ... 0.023 eV per atom

Unit cell a=6.181 b=10.699 c=11.751 alpha=90.00 beta=100.07 gamma=90.00
Space group C2/m (No. 12)
Inequivalent atoms, fractional coordinates:
1 Pr 0.000 0.000 0.000 (multiplicity 2)
2 Pr 0.000 0.333 0.000 (multiplicity 4)
3 Dy 0.000 0.167 0.500 (multiplicity 4)
4 Er 0.248 0.000 0.745 (multiplicity 4)
5 Er 0.248 0.333 0.745 (multiplicity 8)
6 Tm 0.000 0.500 0.500 (multiplicity 2)